Arrangement A

Entry from OQMD: KCoH3C3O6 after structural relaxation (PBE with a Hubbard U).

Calculated values
ρ = 2.2 g cm⁻³
magnetic moment = 6.0 Bohr magnetons per cell
SG = P6_322, No. 182

The structure in POSCAR format:
```
KCoH3C3O6
1.0
6.900 0.000 0.000
-3.450 5.976 0.000
0.000 0.000 8.480
K Co H C O
2 2 6 6 12
direct
0.000 0.000 0.250 K
0.000 0.000 0.750 K
0.333 0.667 0.250 Co
0.667 0.333 0.750 Co
0.000 0.403 0.000 H
0.000 0.597 0.500 H
0.403 0.000 0.000 H
0.403 0.403 0.500 H
0.597 0.000 0.500 H
0.597 0.597 0.000 H
0.000 0.437 0.500 C
0.000 0.563 0.000 C
0.437 0.000 0.500 C
0.437 0.437 0.000 C
0.563 0.000 0.000 C
0.563 0.563 0.500 C
0.098 0.399 0.388 O
0.098 0.699 0.112 O
0.301 0.399 0.112 O
0.301 0.902 0.388 O
0.399 0.098 0.612 O
0.399 0.301 0.888 O
0.601 0.699 0.388 O
0.601 0.902 0.112 O
0.699 0.098 0.888 O
0.699 0.601 0.612 O
0.902 0.301 0.612 O
0.902 0.601 0.888 O
```

=====

Arrangement B

Entry from OQMD: KCoH3C3O6 after structural relaxation (PBE with a Hubbard U).

Calculated values
ρ = 2.4 g cm⁻³
magnetic moment = 6.0 Bohr magnetons per cell
SG = C2/c, No. 15

The structure in POSCAR format:
```
KCoH3C3O6
1.0
5.279 -4.485 0.000
5.279 4.485 0.000
-0.454 0.000 6.714
K Co H C O
2 2 6 6 12
direct
0.099 0.901 0.750 K
0.901 0.099 0.250 K
0.000 0.500 0.000 Co
0.500 0.000 0.500 Co
0.323 0.435 0.504 H
0.378 0.622 0.250 H
0.435 0.323 0.004 H
0.565 0.677 0.996 H
0.622 0.378 0.750 H
0.677 0.565 0.496 H
0.255 0.745 0.250 C
0.263 0.380 0.636 C
0.380 0.263 0.136 C
0.620 0.737 0.864 C
0.737 0.620 0.364 C
0.745 0.255 0.750 C
0.116 0.741 0.120 O
0.166 0.509 0.749 O
0.197 0.297 0.162 O
0.259 0.884 0.380 O
0.297 0.197 0.662 O
0.491 0.834 0.751 O
0.509 0.166 0.249 O
0.703 0.803 0.338 O
0.741 0.116 0.620 O
0.803 0.703 0.838 O
0.834 0.491 0.251 O
0.884 0.259 0.880 O
```

=====

It is arrangement A that is the most stable of them.